DFT (GGA-PBE) results for Dy2AlPt after structural relaxation.

Unit cell a=3.5770 b=3.5770 c=6.9787 alpha=90.00 beta=90.00 gamma=90.00
Closest atoms and distances in Å follow each position.
Atoms (fractional coordinates):
Al  0.5000  0.5000  0.5000  8 Dy 3.13, 2 Pt 3.49
Pt  0.5000  0.5000  0.0000  8 Dy 3.02
Dy  0.0000  0.0000  0.7632  4 Pt 3.02, 4 Al 3.13, 1 Dy 3.31
Dy  0.0000  0.0000  0.2368  4 Pt 3.02, 4 Al 3.13, 1 Dy 3.31

The volume comes out at 22.32 A^3/atom. Its energy of formation from the pure elements is -0.81 eV per atom. Its offset from the most stable computed form is 0 meV/atom. As for the space-group type: P4/mmm (123).



DFT (GGA-PBE) results for Tc2PdF2 after structural relaxation.

Unit cell a=3.9669 b=3.9669 c=5.0180 alpha=66.72 beta=66.72 gamma=90.00
Closest atoms and distances in Å follow each position.
Atoms (fractional coordinates):
Tc  0.7500  0.2500  0.5000  4 F 2.23
Tc  0.2500  0.7500  0.5000  4 F 2.23
Pd  0.0000  0.0000  0.0000  8 Tc 2.87, 10 F 3.00-3.09
F  0.3716  0.3716  0.2567  1 F 2.14, 4 Tc 2.23
F  0.6284  0.6284  0.7433  1 F 2.14, 4 Tc 2.23

The volume comes out at 13.10 A^3/atom. Its offset from the most stable computed form is 32 meV/atom. As for the space-group type: I4/mmm (139). As for the uncorrected formation energy: 0.12 eV/atom.



DFT (GGA-PBE) results for PuPa12Ga6 after structural relaxation.

Unit cell a=9.0183 b=9.0183 c=9.0183 alpha=113.91 beta=113.91 gamma=113.91
Closest atoms and distances in Å follow each position.
Atoms (fractional coordinates):
Pu  0.0000  0.0000  0.0000  6 Ga 2.89, 6 Pa 3.13
Pa  0.7750  0.2250  0.5000  4 Pa 2.73-2.99, 2 Ga 2.99
Pa  0.8199  0.1756  0.1756  4 Pa 2.99-3.20, 3 Ga 3.03-3.31, 1 Pu 3.13
Pa  0.1756  0.1756  0.8199  4 Pa 2.99-3.20, 3 Ga 3.03-3.31, 1 Pu 3.13
Pa  0.8244  0.1801  0.8244  4 Pa 2.99-3.20, 3 Ga 3.03-3.31, 1 Pu 3.13
Pa  0.8244  0.8244  0.1801  4 Pa 2.99-3.20, 3 Ga 3.03-3.31, 1 Pu 3.13
Pa  0.1801  0.8244  0.8244  4 Pa 2.99-3.20, 3 Ga 3.03-3.31, 1 Pu 3.13
Pa  0.2250  0.5000  0.7750  4 Pa 2.73-2.99, 2 Ga 2.99
Pa  0.5000  0.7750  0.2250  4 Pa 2.73-2.99, 2 Ga 2.99
Pa  0.2250  0.7750  0.5000  4 Pa 2.73-2.99, 2 Ga 2.99
Pa  0.7750  0.5000  0.2250  4 Pa 2.73-2.99, 2 Ga 2.99
Pa  0.5000  0.2250  0.7750  4 Pa 2.73-2.99, 2 Ga 2.99
Pa  0.1756  0.8199  0.1756  4 Pa 2.99-3.20, 3 Ga 3.03-3.31, 1 Pu 3.13
Ga  0.5268  0.7262  0.7262  4 Ga 2.78-3.02, 1 Pu 2.89, 3 Pa 2.99-3.03
Ga  0.7262  0.7262  0.5268  4 Ga 2.78-3.02, 1 Pu 2.89, 3 Pa 2.99-3.03
Ga  0.7262  0.5268  0.7262  4 Ga 2.78-3.02, 1 Pu 2.89, 3 Pa 2.99-3.03
Ga  0.2738  0.2738  0.4732  4 Ga 2.78-3.02, 1 Pu 2.89, 3 Pa 2.99-3.03
Ga  0.4732  0.2738  0.2738  4 Ga 2.78-3.02, 1 Pu 2.89, 3 Pa 2.99-3.03
Ga  0.2738  0.4732  0.2738  4 Ga 2.78-3.02, 1 Pu 2.89, 3 Pa 2.99-3.03

The volume comes out at 23.61 A^3/atom. Its energy of formation from the pure elements is 0.16 eV per atom. As for the space-group type: R-3m (166).



DFT (GGA-PBE) results for Tb6Cu2Rh after structural relaxation.

Unit cell a=8.3354 b=8.3354 c=8.3354 alpha=110.03 beta=109.73 gamma=108.65
Closest atoms and distances in Å follow each position.
Atoms (fractional coordinates):
Tb  0.5702  0.7444  0.8258  1 Rh 2.99, 3 Cu 3.00-3.13, 1 Tb 3.34
Tb  0.4298  0.2556  0.1742  1 Rh 2.99, 3 Cu 3.00-3.13, 1 Tb 3.34
Tb  0.0814  0.2556  0.8258  1 Rh 2.99, 3 Cu 3.00-3.13, 1 Tb 3.34
Tb  0.9186  0.7444  0.1742  1 Rh 2.99, 3 Cu 3.00-3.13, 1 Tb 3.34
Tb  0.8164  0.7371  0.5535  2 Rh 2.87-3.07, 1 Cu 2.98
Tb  0.1836  0.2629  0.4465  2 Rh 2.87-3.07, 1 Cu 2.98
Tb  0.1836  0.7371  0.9207  2 Rh 2.87-3.07, 1 Cu 2.98
Tb  0.8164  0.2629  0.0793  2 Rh 2.87-3.07, 1 Cu 2.98
Tb  0.7013  0.3744  0.6731  3 Cu 2.77-2.94
Tb  0.2987  0.6256  0.3269  3 Cu 2.77-2.94
Tb  0.2987  0.9718  0.6731  3 Cu 2.77-2.94
Tb  0.7013  0.0282  0.3269  3 Cu 2.77-2.94
Cu  0.5000  0.3789  0.8789  1 Cu 2.31
Cu  0.5000  0.6211  0.1211  1 Cu 2.31
Cu  0.6500  0.0000  0.6500  1 Cu 2.88, 8 Tb 2.94-3.00
Cu  0.3500  0.0000  0.3500  1 Cu 2.88, 8 Tb 2.94-3.00
Rh  0.0000  0.5000  0.5000  4 Tb 2.87
Rh  0.0000  0.0000  0.0000  8 Tb 2.99-3.07

The volume comes out at 24.76 A^3/atom. Its energy of formation from the pure elements is -0.29 eV per atom. As for the space-group type: Immm (71).



DFT (GGA-PBE) results for CeGa3CoNi after structural relaxation.

Unit cell a=6.0746 b=7.1481 c=6.2076 alpha=125.15 beta=90.00 gamma=90.00
Closest atoms and distances in Å follow each position.
Atoms (fractional coordinates):
Ce  0.7500  0.2591  0.5181  1 Co 2.62
Ce  0.2500  0.7409  0.4819  1 Co 2.62
Ga  0.2500  0.2574  0.5148  1 Ni 2.26, 1 Co 2.28
Ga  0.0000  0.2470  0.0000  2 Ni 2.35, 2 Co 2.37
Ga  0.5000  0.7530  0.0000  2 Ni 2.35, 2 Co 2.37
Ga  0.5000  0.2470  0.0000  2 Ni 2.35, 2 Co 2.37
Ga  0.0000  0.7530  0.0000  2 Ni 2.35, 2 Co 2.37
Ga  0.7500  0.7426  0.4852  1 Ni 2.26, 1 Co 2.28
Co  0.2500  0.4824  0.9649  5 Ga 2.28-2.37
Co  0.7500  0.5176  0.0351  5 Ga 2.28-2.37
Ni  0.2500  0.0343  0.0687  5 Ga 2.26-2.35
Ni  0.7500  0.9657  0.9313  5 Ga 2.26-2.35

The volume comes out at 18.37 A^3/atom. Its energy of formation from the pure elements is -0.28 eV per atom. As for the space-group type: Cmcm (63).



DFT (GGA-PBE) results for KTlPS2 after structural relaxation.

Unit cell a=5.7871 b=5.7871 c=6.0265 alpha=90.00 beta=90.00 gamma=90.00
Closest atoms and distances in Å follow each position.
Atoms (fractional coordinates):
S  0.0000  0.5000  0.0000  2 K 2.89
S  0.5000  0.0000  0.0000  2 K 2.89
P  0.0000  0.0000  0.5000  2 K 3.01
Tl  0.5000  0.5000  0.5000  4 P 4.09, 8 S 4.18
K  0.0000  0.0000  0.0000  4 S 2.89, 2 P 3.01

The volume comes out at 40.37 A^3/atom. Its offset from the most stable computed form is 618 meV/atom. As for the space-group type: P4/mmm (123). As for the uncorrected formation energy: 0.95 eV/atom.



DFT (GGA-PBE) results for Li3CaCu after structural relaxation.

Unit cell a=4.1889 b=7.1276 c=7.5663 alpha=75.02 beta=90.00 gamma=90.00
Closest atoms and distances in Å follow each position.
Atoms (fractional coordinates):
Li  0.8810  0.6876  0.5051  3 Cu 2.62-2.68, 1 Li 2.82
Li  0.3810  0.9863  0.3018  3 Cu 2.63-2.67, 1 Li 2.82
Li  0.8810  0.6988  0.8748  3 Cu 2.61-2.68, 1 Li 2.82
Li  0.8810  0.2301  0.0417  1 Cu 2.61
Li  0.3810  0.4448  0.7623  1 Cu 2.61
Li  0.3810  0.9771  0.9316  3 Cu 2.60-2.69, 1 Li 2.82
Ca  0.3810  0.5338  0.2233  2 Cu 3.03, 5 Li 3.33-3.37
Ca  0.8810  0.1408  0.5813  2 Cu 3.03, 5 Li 3.34-3.36
Cu  0.3810  0.8230  0.6553  7 Li 2.60-2.68
Cu  0.8810  0.8516  0.1532  7 Li 2.61-2.69

The volume comes out at 21.82 A^3/atom. Its energy of formation from the pure elements is -0.01 eV per atom. Its offset from the most stable computed form is 0 meV/atom. As for the space-group type: Pm (6).



DFT (GGA-PBE) results for CsScSiIr2 after structural relaxation.

Unit cell a=4.9998 b=5.1285 c=4.9998 alpha=90.00 beta=90.00 gamma=90.00
Closest atoms and distances in Å follow each position.
Atoms (fractional coordinates):
Cs  0.0000  0.0000  0.0000  4 Ir 2.50, 2 Sc 2.56
Sc  0.0000  0.5000  0.0000  2 Cs 2.56
Si  0.5000  0.5000  0.5000  4 Sc 3.54, 8 Ir 3.58
Ir  0.0000  0.0000  0.5000  2 Cs 2.50
Ir  0.5000  0.0000  0.0000  2 Cs 2.50

The volume comes out at 25.64 A^3/atom. As for the space-group type: P4/mmm (123). As for the uncorrected formation energy: 2.43 eV/atom.



DFT (GGA-PBE) results for TbZnIr2 after structural relaxation.

Unit cell a=7.3538 b=5.5607 c=8.5808 alpha=90.00 beta=90.00 gamma=90.00
Closest atoms and distances in Å follow each position.
Atoms (fractional coordinates):
Tb  0.0000  0.2500  0.6896  2 Zn 2.81, 2 Ir 3.00
Tb  0.5000  0.7500  0.2180  4 Ir 2.65-2.79, 2 Zn 2.81
Tb  0.0000  0.7500  0.3104  2 Zn 2.81, 2 Ir 3.00
Tb  0.5000  0.2500  0.7820  4 Ir 2.65-2.79, 2 Zn 2.81
Zn  0.5000  0.7500  0.7340  4 Ir 2.44-2.46
Zn  0.5000  0.2500  0.2660  4 Ir 2.44-2.46
Zn  0.0000  0.2500  0.2598  4 Ir 2.63-2.90, 2 Tb 2.81
Zn  0.0000  0.7500  0.7402  4 Ir 2.63-2.90, 2 Tb 2.81
Ir  0.0000  0.0000  0.0000  6 Ir 2.61-2.78, 2 Zn 2.63
Ir  0.5000  0.5000  0.5000  2 Zn 2.44
Ir  0.2976  0.7500  0.9626  1 Zn 2.46, 2 Ir 2.61, 1 Tb 2.65
Ir  0.7024  0.2500  0.0374  1 Zn 2.46, 2 Ir 2.61, 1 Tb 2.65
Ir  0.7024  0.7500  0.9626  1 Zn 2.46, 2 Ir 2.61, 1 Tb 2.65
Ir  0.2976  0.2500  0.0374  1 Zn 2.46, 2 Ir 2.61, 1 Tb 2.65
Ir  0.0000  0.5000  0.0000  6 Ir 2.61-2.78, 2 Zn 2.63
Ir  0.5000  0.0000  0.5000  2 Zn 2.44

The volume comes out at 21.93 A^3/atom. Its energy of formation from the pure elements is 0.09 eV per atom. As for the space-group type: Pmma (51).



DFT (GGA-PBE) results for Sr2BeGeRh after structural relaxation.

Unit cell a=5.7116 b=4.0672 c=5.7116 alpha=90.00 beta=90.00 gamma=90.00
Closest atoms and distances in Å follow each position.
Atoms (fractional coordinates):
Sr  0.0000  0.0000  0.5000  2 Be 2.86
Sr  0.5000  0.0000  0.0000  2 Be 2.86
Ge  0.5000  0.5000  0.5000  8 Sr 3.51
Rh  0.0000  0.5000  0.0000  2 Be 2.03
Be  0.0000  0.0000  0.0000  2 Rh 2.03

The volume comes out at 26.54 A^3/atom. Its energy of formation from the pure elements is 0.03 eV per atom. As for the space-group type: P4/mmm (123).



DFT (GGA-PBE) results for Zr2SiBr after structural relaxation.

Unit cell a=5.9881 b=5.9881 c=7.5077 alpha=66.50 beta=66.50 gamma=90.00
Closest atoms and distances in Å follow each position.
Atoms (fractional coordinates):
Si  0.5000  0.5000  0.0000  4 Zr 2.54
Si  0.2500  0.7500  0.5000  4 Zr 2.54
Br  0.0000  0.0000  0.0000  4 Zr 2.72
Br  0.7500  0.2500  0.5000  4 Zr 2.72
Zr  0.5986  0.1250  0.2500  2 Si 2.54, 2 Br 2.72
Zr  0.1514  0.6250  0.2500  2 Si 2.54, 2 Br 2.72
Zr  0.3750  0.4014  0.7500  2 Si 2.54, 2 Br 2.72
Zr  0.8750  0.8486  0.7500  2 Si 2.54, 2 Br 2.72

The volume comes out at 27.79 A^3/atom. Its offset from the most stable computed form is 772 meV/atom. As for the space-group type: I-42d (122). As for the uncorrected formation energy: 0.13 eV/atom.